Below is an optimized crystal structure of SiAs3, with properties calculated at the GGA-PBE level.

Geometry as extended XYZ:
```
4
Lattice="-0.4842 4.6515 -0.0811 -0.8034 -0.1541 -4.6052 -2.5931 -2.5756 2.9188" Properties=species:S:1:pos:R:3 pbc="T T T"
As -2.0202 -0.2405 -2.0148
As -0.6438 2.2487 -2.3431
As -1.8606 2.1623 0.2473
Si 0.0000 0.0000 0.0000
```

Values from the calculation:
E: -17.37 eV/cell
Volume: 18.07 A^3/atom
Energy relative to the elements, uncorrected: 0.50 eV/atom
Distance to the lowest polymorph of the same formula: 0.404 eV/atom


Below is an optimized crystal structure of SiAs2, with properties calculated at the GGA-PBE level.

Geometry as extended XYZ:
```
3
Lattice="3.7723 0.0000 0.0000 -1.8862 5.6092 -0.0072 0.0000 0.0035 2.6796" Properties=species:S:1:pos:R:3 pbc="T T T"
As 1.8861 1.7560 2.6771
As 0.0000 3.8568 -0.0047
Si 3.7723 0.0000 0.0000
```

Values from the calculation:
E: -14.19 eV/cell
Volume: 18.90 A^3/atom
Energy relative to the elements, uncorrected: 0.18 eV/atom
Distance to the lowest polymorph of the same formula: 0.261 eV/atom


Below is an optimized crystal structure of SiAs, with properties calculated at the GGA-PBE level.

Geometry as extended XYZ:
```
16
Lattice="-3.2173 -7.4699 -0.4294 5.1703 -1.8817 -6.0051 5.4084 -2.6447 5.4853" Properties=species:S:1:pos:R:3 pbc="T T T"
Si 0.9708 -1.5821 -0.1252
Si 8.7593 -4.9146 -0.5078
Si 2.5840 -9.0288 3.5972
Si 2.4088 -8.4670 -4.8625
Si 4.6516 -7.5802 -0.5998
Si 1.8613 -6.3863 -0.4627
Si 4.0736 -4.9124 -1.9333
Si 4.1364 -5.1136 1.0974
As 2.4628 -4.0133 -0.3175
As 5.9633 -5.5111 -0.4895
As 3.1878 -7.3603 1.3555
As 3.1090 -7.1078 -2.4467
As 6.1435 -10.0114 -0.7921
As -0.9347 -6.9829 -0.4444
As 4.6774 -3.2438 -4.1750
As 4.8367 -3.7544 3.5132
```

Values from the calculation:
E: -73.46 eV/cell
Volume: 33.77 A^3/atom
Energy relative to the elements, uncorrected: 0.44 eV/atom


Below is an optimized crystal structure of Si3As, with properties calculated at the GGA-PBE level.

Geometry as extended XYZ:
```
4
Lattice="2.7374 0.0000 0.0000 0.0000 3.4240 0.0000 0.0000 0.0000 6.7787" Properties=species:S:1:pos:R:3 pbc="T T T"
As 0.0000 0.0000 0.0000
Si 1.3687 1.7120 4.9357
Si 0.0000 0.0000 3.3893
Si 1.3687 1.7120 1.8430
```

Values from the calculation:
E: -18.88 eV/cell
Volume: 15.88 A^3/atom
Energy relative to the elements, uncorrected: 0.51 eV/atom
Distance to the lowest polymorph of the same formula: 0.249 eV/atom


Below is an optimized crystal structure of Si3As4, with properties calculated at the GGA-PBE level.

Geometry as extended XYZ:
```
7
Lattice="-1.1405 4.8088 -2.0953 -5.0554 -1.5796 -0.8735 -1.3992 1.7879 4.8648" Properties=species:S:1:pos:R:3 pbc="T T T"
As -2.0371 1.2960 0.2487
As -4.7780 2.7244 -1.0646
As -5.0535 1.5939 2.5742
As -3.3216 4.4199 2.0337
Si 0.0000 0.0000 0.0000
Si -1.2698 3.2983 1.3848
Si -3.2273 0.1042 1.9957
```

Values from the calculation:
E: -34.99 eV/cell
Volume: 22.10 A^3/atom
Energy relative to the elements, uncorrected: -0.02 eV/atom


Below is an optimized crystal structure of Si3As, with properties calculated at the GGA-PBE level.

Geometry as extended XYZ:
```
4
Lattice="-1.8623 -4.4869 -0.1553 -0.0665 -0.1411 4.8581 -2.5321 1.0511 -0.0041" Properties=species:S:1:pos:R:3 pbc="T T T"
As 0.0000 0.0000 0.0000
Si -1.2993 0.4550 2.4270
Si -2.1972 -1.7179 -0.0797
Si -0.9644 -2.3140 2.3514
```

Values from the calculation:
E: -18.85 eV/cell
Volume: 16.19 A^3/atom
Energy relative to the elements, uncorrected: 0.52 eV/atom
Distance to the lowest polymorph of the same formula: 0.257 eV/atom


Below is an optimized crystal structure of SiAs3, with properties calculated at the GGA-PBE level.

Geometry as extended XYZ:
```
8
Lattice="-2.1176 1.1512 7.8498 -1.5384 -7.1902 -3.6554 3.8108 -1.4458 1.2400" Properties=species:S:1:pos:R:3 pbc="T T T"
Si 1.1266 -5.4941 1.1097
Si -0.9718 -1.9907 4.3247
As -0.2488 -3.4214 0.4347
As -1.3678 -5.2699 1.7185
As -0.7197 -5.6222 -0.6842
As 0.4036 -4.0633 4.9997
As 1.5226 -2.2149 3.7159
As 0.8745 -1.8625 6.1186
```

Values from the calculation:
E: -35.98 eV/cell
Volume: 31.10 A^3/atom
Energy relative to the elements, uncorrected: 0.35 eV/atom
Distance to the lowest polymorph of the same formula: 0.248 eV/atom


Below is an optimized crystal structure of Si3As, with properties calculated at the GGA-PBE level.

Geometry as extended XYZ:
```
4
Lattice="4.0090 0.0000 0.0000 0.0000 4.0090 0.0000 0.0000 0.0000 4.0090" Properties=species:S:1:pos:R:3 pbc="T T T"
As 0.0000 0.0000 0.0000
Si 0.0000 2.0045 2.0045
Si 2.0045 0.0000 2.0045
Si 2.0045 2.0045 0.0000
```

Values from the calculation:
E: -18.53 eV/cell
Volume: 16.11 A^3/atom
Energy relative to the elements, uncorrected: 0.60 eV/atom
Distance to the lowest polymorph of the same formula: 0.337 eV/atom


Below is an optimized crystal structure of Si5As4, with properties calculated at the GGA-PBE level.

Geometry as extended XYZ:
```
18
Lattice="-5.2924 -3.2959 5.4963 6.1000 -4.6511 -3.1997 3.1285 1.4377 3.8745" Properties=species:S:1:pos:R:3 pbc="T T T"
As 0.0000 0.0000 0.0000
As 1.5643 0.7188 1.9373
As 2.9125 -1.2649 -0.1488
As 1.3077 -4.8122 2.4632
As -1.0661 -0.7916 2.8881
As 6.3161 -1.9486 0.8236
As 2.6285 -1.6971 3.7079
As -1.0977 -1.0666 6.4827
Si 4.8554 -2.7464 -1.1680
Si 1.0505 -2.2810 1.7317
Si -2.7518 -1.8414 4.6388
Si 4.3732 -0.4671 1.8428
Si 2.8857 -4.2283 4.4395
Si 0.5880 -0.0168 4.7321
Si -1.4949 -3.7476 2.5977
Si 3.8668 -3.4805 1.6362
Si 2.3026 -4.1994 -0.3010
Si 0.0694 -3.0288 4.5349
```

Values from the calculation:
E: -81.98 eV/cell
Volume: 17.23 A^3/atom
Energy relative to the elements, uncorrected: 0.52 eV/atom


Below is an optimized crystal structure of SiAs, with properties calculated at the GGA-PBE level.

Geometry as extended XYZ:
```
4
Lattice="-2.6659 0.9132 -0.2491 0.6117 -2.1098 1.7826 1.6258 6.7843 7.4718" Properties=species:S:1:pos:R:3 pbc="T T T"
As 1.5709 6.5553 7.2196
As -1.1121 1.8306 2.5483
Si 0.8406 3.5077 3.8631
Si -0.3817 4.8783 5.9048
```

Values from the calculation:
E: -17.98 eV/cell
Volume: 17.71 A^3/atom
Energy relative to the elements, uncorrected: 0.54 eV/atom


Below is an optimized crystal structure of SiAs, with properties calculated at the GGA-PBE level.

Geometry as extended XYZ:
```
6
Lattice="1.8461 5.5969 -0.0247 -1.8461 5.5969 -0.0247 0.0000 3.6920 5.2345" Properties=species:S:1:pos:R:3 pbc="T T T"
Si 0.0000 4.6826 2.2983
Si 0.0000 2.3400 1.4204
Si 0.0000 12.1807 4.9628
As 0.0000 10.9504 0.6184
As 0.0000 9.8365 3.9702
As 0.0000 7.1483 3.1497
```

Values from the calculation:
E: -29.03 eV/cell
Volume: 18.08 A^3/atom
Energy relative to the elements, uncorrected: 0.20 eV/atom


Below is an optimized crystal structure of SiAs3, with properties calculated at the GGA-PBE level.

Geometry as extended XYZ:
```
4
Lattice="6.6261 0.0308 0.0189 5.5495 3.6207 0.0189 5.5495 1.6643 3.2156" Properties=species:S:1:pos:R:3 pbc="T T T"
As 4.5313 1.3589 0.8317
As 8.8626 2.6579 1.6266
As 13.1939 3.9569 2.4216
Si 0.0000 0.0000 0.0000
```

Values from the calculation:
E: -18.84 eV/cell
Volume: 19.05 A^3/atom
Energy relative to the elements, uncorrected: 0.13 eV/atom
Distance to the lowest polymorph of the same formula: 0.036 eV/atom


Below is an optimized crystal structure of SiAs3, with properties calculated at the GGA-PBE level.

Geometry as extended XYZ:
```
4
Lattice="4.1956 0.0000 0.0000 0.0000 4.1956 0.0000 0.0000 0.0000 4.1956" Properties=species:S:1:pos:R:3 pbc="T T T"
As 0.0000 2.0978 2.0978
As 2.0978 0.0000 2.0978
As 2.0978 2.0978 0.0000
Si 0.0000 0.0000 0.0000
```

Values from the calculation:
E: -17.13 eV/cell
Volume: 18.46 A^3/atom
Energy relative to the elements, uncorrected: 0.56 eV/atom
Distance to the lowest polymorph of the same formula: 0.464 eV/atom


Below is an optimized crystal structure of Si3As, with properties calculated at the GGA-PBE level.

Geometry as extended XYZ:
```
4
Lattice="5.1104 0.0326 0.1107 -2.3051 4.5611 0.1107 -2.3051 -3.7746 2.5629" Properties=species:S:1:pos:R:3 pbc="T T T"
As 0.0000 0.0000 0.0000
Si 1.4026 -1.8710 1.3368
Si 1.4026 2.2968 0.1107
Si -2.3051 0.3932 1.3368
```

Values from the calculation:
E: -18.75 eV/cell
Volume: 16.05 A^3/atom
Energy relative to the elements, uncorrected: 0.54 eV/atom
Distance to the lowest polymorph of the same formula: 0.280 eV/atom


Below is an optimized crystal structure of Si4As, with properties calculated at the GGA-PBE level.

Geometry as extended XYZ:
```
5
Lattice="4.7716 0.0000 0.0000 0.0000 4.7716 0.0000 0.0000 0.0000 4.7716" Properties=species:S:1:pos:R:3 pbc="T T T"
As 2.3858 2.3858 2.3858
Si 0.0000 0.0000 0.0000
Si 2.3858 0.0000 2.3858
Si 0.0000 2.3858 2.3858
Si 2.3858 2.3858 0.0000
```

Values from the calculation:
E: -20.30 eV/cell
Volume: 21.73 A^3/atom
Energy relative to the elements, uncorrected: 1.21 eV/atom
Distance to the lowest polymorph of the same formula: 0.765 eV/atom


Below is an optimized crystal structure of SiAs, with properties calculated at the GGA-PBE level.

Geometry as extended XYZ:
```
4
Lattice="4.3752 0.0000 0.0000 -2.1876 3.7891 0.0000 0.0000 0.0000 5.1433" Properties=species:S:1:pos:R:3 pbc="T T T"
Si 0.0000 2.5260 3.8575
Si 2.1876 1.2630 1.2858
As 0.0000 2.5260 1.2858
As 2.1876 1.2630 3.8575
```

Values from the calculation:
E: -19.50 eV/cell
Volume: 21.32 A^3/atom
Energy relative to the elements, uncorrected: 0.16 eV/atom


Below is an optimized crystal structure of SiAs2, with properties calculated at the GGA-PBE level.

Geometry as extended XYZ:
```
3
Lattice="-3.1317 -2.1010 6.7109 -0.5246 -4.8861 5.9253 3.1938 4.5030 -5.3648" Properties=species:S:1:pos:R:3 pbc="T T T"
As -0.5423 -1.0363 1.8741
As -3.1141 -5.9508 10.7621
Si -1.8282 -3.4935 6.3181
```

Values from the calculation:
E: -13.22 eV/cell
Volume: 18.83 A^3/atom
Energy relative to the elements, uncorrected: 0.50 eV/atom
Distance to the lowest polymorph of the same formula: 0.587 eV/atom


Below is an optimized crystal structure of SiAs3, with properties calculated at the GGA-PBE level.

Geometry as extended XYZ:
```
4
Lattice="-2.3071 -1.2609 -1.1114 2.0354 -1.5780 1.2308 -4.9602 0.8663 9.3137" Properties=species:S:1:pos:R:3 pbc="T T T"
As -4.8755 0.8515 9.1545
As -2.5649 0.4479 4.8160
As -2.0996 -1.1501 1.9977
Si -4.5797 -0.7169 6.6546
```

Values from the calculation:
E: -17.32 eV/cell
Volume: 18.68 A^3/atom
Energy relative to the elements, uncorrected: 0.51 eV/atom
Distance to the lowest polymorph of the same formula: 0.416 eV/atom


Below is an optimized crystal structure of SiAs, with properties calculated at the GGA-PBE level.

Geometry as extended XYZ:
```
4
Lattice="-2.6947 5.6658 3.5145 -1.7086 2.2523 6.6123 4.3400 -2.9817 -4.8978" Properties=species:S:1:pos:R:3 pbc="T T T"
As -0.8643 2.5548 3.9293
As 0.8010 2.3816 1.2997
Si -1.7176 4.9093 3.2088
Si 1.6543 0.0271 2.0202
```

Values from the calculation:
E: -18.71 eV/cell
Volume: 18.83 A^3/atom
Energy relative to the elements, uncorrected: 0.36 eV/atom


Below is an optimized crystal structure of SiAs, with properties calculated at the GGA-PBE level.

Geometry as extended XYZ:
```
4
Lattice="5.7502 0.8527 0.0000 2.7159 5.1397 0.0000 -4.2331 -2.9962 2.6261" Properties=species:S:1:pos:R:3 pbc="T T T"
As 0.0000 0.0000 0.0000
As 1.3579 2.5698 1.3130
Si 4.2331 2.9962 0.0000
Si 2.8751 0.4263 1.3130
```

Values from the calculation:
E: -18.09 eV/cell
Volume: 17.88 A^3/atom
Energy relative to the elements, uncorrected: 0.51 eV/atom